(1)
A plane-wave DFT calculation with PBE-GGA was carried out for CsNaSnO3 after structural relaxation.

Calculated values
total magnetization	0.00	μB per cell

abc: 5.9047 6.1992 6.6801
angles: 117.65 90.00 90.00
With the nearest neighbours (Å) after each atom.
Fractional coordinates of all 12 atoms:
Na (0.2500, 0.4212, 0.8424)  5 O 2.38-2.46
Na (0.7500, 0.5788, 0.1576)  5 O 2.38-2.46
Cs (0.7500, 0.2667, 0.5334)  4 O 3.00-3.10
Cs (0.2500, 0.7333, 0.4666)  4 O 3.00-3.10
O (0.7500, 0.7798, 0.5596)  1 Sn 1.96
O (0.5000, 0.7806, 0.0000)  2 Sn 2.11
O (0.5000, 0.2194, 0.0000)  2 Sn 2.11
O (0.0000, 0.7806, 0.0000)  2 Sn 2.11
O (0.2500, 0.2202, 0.4404)  1 Sn 1.96
O (0.0000, 0.2194, 0.0000)  2 Sn 2.11
Sn (0.7500, 0.9454, 0.8908)  5 O 1.96-2.11
Sn (0.2500, 0.0546, 0.1092)  5 O 1.96-2.11

=====

(2)
A plane-wave DFT calculation with PBE-GGA was carried out for Cs2NaTaO4 after structural relaxation.

Calculated values
total magnetization	0.25	μB per cell

abc: 5.7258 7.1327 11.3036
angles: 84.17 75.33 66.34
With the nearest neighbours (Å) after each atom.
Fractional coordinates of all 16 atoms:
Cs (0.1741, 0.0000, 0.6518)  6 O 3.44-3.46, 1 Na 3.81
Cs (0.8259, 0.0000, 0.3482)  6 O 3.44-3.46, 1 Na 3.81
Cs (0.9241, 0.5000, 0.1518)  6 O 3.44-3.46, 1 Na 3.81
Cs (0.5759, 0.5000, 0.8482)  6 O 3.44-3.46, 1 Na 3.81
Na (0.0000, 0.0000, 0.0000)  4 O 2.27
Na (0.7500, 0.5000, 0.5000)  4 O 2.27
O (0.8305, 0.8337, 0.9075)  1 Ta 1.88
O (0.1783, 0.3337, 0.4075)  1 Ta 1.88
O (0.2620, 0.1663, 0.9075)  1 Ta 1.88
O (0.3358, 0.8337, 0.0925)  1 Ta 1.88
O (0.4142, 0.6663, 0.4075)  1 Ta 1.88
O (0.4880, 0.3337, 0.5925)  1 Ta 1.88
O (0.9195, 0.6663, 0.5925)  1 Ta 1.88
O (0.5717, 0.1663, 0.0925)  1 Ta 1.88
Ta (0.5000, 0.0000, 0.0000)  4 O 1.88
Ta (0.2500, 0.5000, 0.5000)  4 O 1.88

=====

(3)
A plane-wave DFT calculation with PBE-GGA was carried out for CsNa2TaO4 after structural relaxation.

Calculated values
total magnetization	0.00	μB per cell

abc: 5.9117 5.9117 5.9117
angles: 93.00 118.29 118.29
With the nearest neighbours (Å) after each atom.
Fractional coordinates of all 8 atoms:
O (0.0000, 0.1874, 0.5423)  1 Ta 1.88
O (0.3549, 0.8126, 0.8126)  1 Ta 1.88
O (0.0000, 0.5423, 0.1874)  1 Ta 1.88
O (0.6451, 0.4577, 0.4577)  1 Ta 1.88
Na (0.5000, 0.2500, 0.7500)  4 O 2.42
Na (0.5000, 0.7500, 0.2500)  4 O 2.42
Cs (0.0000, 0.0000, 0.0000)  4 O 2.98
Ta (0.0000, 0.5000, 0.5000)  4 O 1.88

=====

(4)
A plane-wave DFT calculation with PBE-GGA was carried out for Cs2NaTc2O6 after structural relaxation.

Calculated values
total magnetization	1.03	μB per cell

abc: 6.4907 6.4907 7.6058
angles: 64.74 64.74 60.00
With the nearest neighbours (Å) after each atom.
Fractional coordinates of all 11 atoms:
O (0.7476, 0.7476, 0.2279)  1 Tc 1.77
O (0.2770, 0.7476, 0.2279)  1 Tc 1.77
O (0.7230, 0.2524, 0.7721)  1 Tc 1.77
O (0.2524, 0.7230, 0.7721)  1 Tc 1.77
O (0.2524, 0.2524, 0.7721)  1 Tc 1.77
O (0.7476, 0.2770, 0.2279)  1 Tc 1.77
Na (0.0000, 0.0000, 0.0000)  6 O 2.49
Cs (0.2088, 0.2088, 0.3737)  9 O 3.30-3.39
Cs (0.7912, 0.7912, 0.6263)  9 O 3.30-3.39
Tc (0.5958, 0.5958, 0.2127)  3 O 1.77
Tc (0.4042, 0.4042, 0.7873)  3 O 1.77

=====

(5)
A plane-wave DFT calculation with PBE-GGA was carried out for Cs3NaTc2O8 after structural relaxation.

Calculated values
total magnetization	2.01	μB per cell

abc: 6.4186 6.4186 8.3847
angles: 90.00 90.00 120.00
With the nearest neighbours (Å) after each atom.
Fractional coordinates of all 14 atoms:
O (0.8182, 0.6365, 0.6876)  1 Tc 1.80
O (0.6365, 0.8182, 0.3124)  1 Tc 1.80
O (0.1818, 0.3635, 0.3124)  1 Tc 1.80
O (0.3333, 0.6667, 0.0241)  1 Tc 1.77
O (0.6667, 0.3333, 0.9759)  1 Tc 1.77
O (0.1818, 0.8182, 0.3124)  1 Tc 1.80
O (0.8182, 0.1818, 0.6876)  1 Tc 1.80
O (0.3635, 0.1818, 0.6876)  1 Tc 1.80
Cs (0.3333, 0.6667, 0.6722)  7 O 2.95-3.22
Cs (0.6667, 0.3333, 0.3278)  7 O 2.95-3.22
Cs (0.0000, 0.0000, 0.0000)  6 O 3.31
Na (0.0000, 0.0000, 0.5000)  6 O 2.56
Tc (0.3333, 0.6667, 0.2355)  4 O 1.77-1.80
Tc (0.6667, 0.3333, 0.7645)  4 O 1.77-1.80

=====

(6)
A plane-wave DFT calculation with PBE-GGA was carried out for Cs2Na2TcO6 after structural relaxation.

Calculated values
total magnetization	1.08	μB per cell

abc: 5.9451 5.9451 7.0555
angles: 100.03 100.03 117.27
With the nearest neighbours (Å) after each atom.
Fractional coordinates of all 11 atoms:
O (0.3193, 0.0510, 0.6659)  1 Tc 1.91
O (0.8012, 0.8012, 0.6566)  1 Tc 1.91
O (0.9490, 0.6807, 0.3341)  1 Tc 1.91
O (0.1988, 0.1988, 0.3434)  1 Tc 1.91
O (0.6807, 0.9490, 0.3341)  1 Tc 1.91
O (0.0510, 0.3193, 0.6659)  1 Tc 1.91
Na (0.3412, 0.6588, 0.5000)  6 O 2.43-2.60
Na (0.6588, 0.3412, 0.5000)  6 O 2.43-2.60
Tc (0.0000, 0.0000, 0.5000)  6 O 1.91
Cs (0.8253, 0.1747, 0.0000)  6 O 2.92-3.17
Cs (0.1747, 0.8253, 0.0000)  6 O 2.92-3.17

=====

(7)
A plane-wave DFT calculation with PBE-GGA was carried out for Cs2NaTcO4 after structural relaxation.

Calculated values
total magnetization	0.00	μB per cell

abc: 5.9029 7.2738 10.9582
angles: 83.73 74.38 66.06
With the nearest neighbours (Å) after each atom.
Fractional coordinates of all 16 atoms:
O (0.9221, 0.6840, 0.5609)  1 Tc 1.84
O (0.8279, 0.8160, 0.9391)  1 Tc 1.84
O (0.5170, 0.3160, 0.5609)  1 Tc 1.84
O (0.3939, 0.6840, 0.4391)  1 Tc 1.84
O (0.3561, 0.8160, 0.0609)  1 Tc 1.84
O (0.1670, 0.3160, 0.4391)  1 Tc 1.84
O (0.5830, 0.1840, 0.0609)  1 Tc 1.84
O (0.2330, 0.1840, 0.9391)  1 Tc 1.84
Cs (0.9270, 0.5000, 0.1460)  2 O 3.04
Cs (0.5730, 0.5000, 0.8540)  2 O 3.04
Cs (0.8230, 0.0000, 0.3540)  2 O 3.04
Cs (0.1770, 0.0000, 0.6460)  2 O 3.04
Na (0.7500, 0.5000, 0.5000)  4 O 2.22
Na (0.0000, 0.0000, 0.0000)  4 O 2.22
Tc (0.5000, 0.0000, 0.0000)  4 O 1.84
Tc (0.2500, 0.5000, 0.5000)  4 O 1.84

=====

(8)
A plane-wave DFT calculation with PBE-GGA was carried out for Cs2Na3TcO6 after structural relaxation.

Calculated values
total magnetization	0.10	μB per cell

abc: 7.1435 7.1435 5.7089
angles: 100.23 100.23 125.84
With the nearest neighbours (Å) after each atom.
Fractional coordinates of all 12 atoms:
Tc (0.0000, 0.0000, 0.0000)  6 O 1.92-1.93
Na (0.1129, 0.8871, 0.5000)  4 O 2.27-2.29
Na (0.5000, 0.5000, 0.5000)  4 O 2.45
Na (0.8871, 0.1129, 0.5000)  4 O 2.27-2.29
O (0.7109, 0.9239, 0.7717)  1 Tc 1.93
O (0.8061, 0.8061, 0.1812)  1 Tc 1.92
O (0.9239, 0.7109, 0.7717)  1 Tc 1.93
O (0.1939, 0.1939, 0.8188)  1 Tc 1.92
O (0.2891, 0.0761, 0.2283)  1 Tc 1.93
O (0.0761, 0.2891, 0.2283)  1 Tc 1.93
Cs (0.6761, 0.3239, 0.0000)  6 O 2.91-3.09
Cs (0.3239, 0.6761, 0.0000)  6 O 2.91-3.09

=====

no.,ΔE_f (raw) (meV/atom),energy (eV per atom)
1,-1614,-5.12
2,-2093,-6.43
3,-2249,-6.65
4,-1394,-6.26
5,-1665,-6.26
6,-1325,-5.37
7,-1420,-5.57
8,-1434,-5.25